1.
SrMnSe2 | GGA-PBEsol | relaxed

Properties
SG: Cm
Energy: -23.1 eV per cell
Polymorph energy (0 for the lowest one): 0.088 eV per atom

a b c (Å): 3.978 4.346 6.467
angles (deg): 90.51 107.91 90.00
Site moments in Bohr magnetons follow the coordinates.
Fractional positions:
Se (0.970, 0.905, 0.939)  0.06
Se (0.232, 0.430, 0.464)  0.08
Sr (0.518, 0.403, 0.036)  0.03
Mn (0.781, 0.762, 0.561)  4.24

2.
SrMnSe2 | GGA-PBEsol | relaxed

Properties
SG: Amm2
Energy: -23.5 eV per cell
Polymorph energy (0 for the lowest one): 0.000 eV per atom

a b c (Å): 3.963 4.439 6.376
angles (deg): 90.00 108.11 90.00
Site moments in Bohr magnetons follow the coordinates.
Fractional positions:
Sr (0.599, 0.000, 0.199)  0.04
Mn (0.822, 0.500, 0.644)  4.20
Se (0.910, 0.000, 0.819)  0.08
Se (0.185, 0.500, 0.370)  0.08

3.
Sr2MnZnSe | GGA-PBEsol | relaxed

Properties
SG: P4/mmm
Energy: -19.1 eV per cell

a b c (Å): 4.559 5.779 5.779
angles (deg): 90.00 90.00 90.00
Site moments in Bohr magnetons follow the coordinates.
Fractional positions:
Sr (0.000, 0.000, 0.500)  -0.05
Sr (0.000, 0.500, 0.000)  -0.05
Zn (0.000, 0.000, 0.000)  -0.08
Se (0.500, 0.500, 0.500)  0.03
Mn (0.500, 0.000, 0.000)  3.76

4.
TaMnSe2 | GGA-PBEsol | relaxed

Properties
SG: P-4m2
Energy: -31.6 eV per cell
Polymorph energy (0 for the lowest one): 0.000 eV per atom

a b c (Å): 3.655 3.650 6.161
angles (deg): 89.99 90.00 90.00
Site moments in Bohr magnetons follow the coordinates.
Fractional positions:
Se (0.000, 0.125, 0.910)  -0.03
Se (0.500, 0.625, 0.340)  -0.03
Ta (0.000, 0.625, 0.625)  -0.30
Mn (0.500, 0.125, 0.625)  1.58

5.
TaMnSe2 | GGA-PBEsol | relaxed

Properties
SG: P4/mmm
Energy: -31.0 eV per cell
Polymorph energy (0 for the lowest one): 0.149 eV per atom

a b c (Å): 3.195 3.195 6.343
angles (deg): 90.00 90.00 89.99
Site moments in Bohr magnetons follow the coordinates.
Fractional positions:
Mn (0.500, 0.500, 0.000)  3.62
Ta (0.500, 0.500, 0.500)  0.10
Se (0.000, 0.000, 0.742)  0.03
Se (0.000, 0.000, 0.258)  0.03

6.
TaMnSe2 | GGA-PBEsol | relaxed

Properties
SG: F-43m
Energy: -28.4 eV per cell
Polymorph energy (0 for the lowest one): 0.804 eV per atom

a b c (Å): 4.531 4.531 4.531
angles (deg): 60.00 60.00 60.00
Site moments in Bohr magnetons follow the coordinates.
Fractional positions:
Mn (0.500, 0.500, 0.500)  2.78
Se (0.000, 0.000, 0.000)  0.13
Se (0.250, 0.250, 0.250)  0.02
Ta (0.750, 0.750, 0.750)  -0.59